Record 1
NiP3Ir: relaxed, PBE.

Output
formation energy = 0.80 eV per atom
offset from the most stable computed form = 0.00 eV per formula unit

abc: 4.2760 4.2760 4.2760
angles: 90.00 90.00 90.00
Closest atoms and distances in Å follow each position.
Positions (direct):
P  0.0000  0.0000  0.5000  2 Ni 2.14
P  0.5000  0.0000  0.0000  2 Ni 2.14
P  0.0000  0.5000  0.0000  2 Ni 2.14
Ni  0.0000  0.0000  0.0000  6 P 2.14
Ir  0.5000  0.5000  0.5000  12 P 3.02

Record 2
Dy12Ho3In: relaxed, PBE.

Output
formation energy = -0.05 eV per atom

abc: 4.9445 4.9445 20.0569
angles: 90.00 90.00 90.00
Closest atoms and distances in Å follow each position.
Positions (direct):
Dy  0.0000  0.5000  0.1214  8 Dy 3.47-3.50, 2 In 3.47, 2 Ho 3.55
Ho  0.0000  0.0000  0.2486  12 Dy 3.50-3.55
Dy  0.5000  0.0000  0.8786  2 In 3.47, 8 Dy 3.47-3.50, 2 Ho 3.55
Dy  0.5000  0.0000  0.6264  8 Dy 3.50-3.57, 4 Ho 3.52-3.54
Dy  0.0000  0.5000  0.8786  8 Dy 3.47-3.50, 2 In 3.47, 2 Ho 3.55
In  0.0000  0.0000  0.0000  12 Dy 3.47-3.50
Ho  0.0000  0.0000  0.5000  12 Dy 3.50-3.54
Dy  0.0000  0.5000  0.3736  8 Dy 3.50-3.57, 4 Ho 3.52-3.54
Dy  0.5000  0.5000  0.2452  4 Ho 3.50, 8 Dy 3.50-3.57
Dy  0.5000  0.0000  0.1214  2 In 3.47, 8 Dy 3.47-3.50, 2 Ho 3.55
Ho  0.0000  0.0000  0.7514  12 Dy 3.50-3.55
Dy  0.0000  0.5000  0.6264  8 Dy 3.50-3.57, 4 Ho 3.52-3.54
Dy  0.5000  0.0000  0.3736  8 Dy 3.50-3.57, 4 Ho 3.52-3.54
Dy  0.5000  0.5000  0.5000  4 Ho 3.50, 8 Dy 3.54
Dy  0.5000  0.5000  0.0000  8 Dy 3.47, 4 In 3.50
Dy  0.5000  0.5000  0.7548  4 Ho 3.50, 8 Dy 3.50-3.57

Record 3
Dy3Ho2Cd: relaxed, PBE.

Output
formation energy = 0.34 eV per atom
offset from the most stable computed form = 2.57 eV per formula unit

abc: 3.3265 11.5478 7.7753
angles: 137.95 102.35 90.00
Closest atoms and distances in Å follow each position.
Positions (direct):
Dy  0.6617  0.6530  0.3235  1 Cd 3.15, 4 Dy 3.19-3.36, 3 Ho 3.32-3.33
Ho  0.1725  0.9127  0.3451  1 Cd 3.24, 3 Dy 3.32-3.33, 3 Ho 3.33-3.41
Cd  0.5000  0.2566  0.0000  4 Dy 3.15-3.16, 2 Ho 3.24, 2 Cd 3.33
Dy  0.0000  0.0235  0.0000  2 Cd 3.16, 4 Dy 3.33-3.36
Dy  0.3383  0.3295  0.6765  1 Cd 3.15, 4 Dy 3.19-3.36, 3 Ho 3.32-3.33
Ho  0.8275  0.5676  0.6549  1 Cd 3.24, 3 Dy 3.32-3.33, 3 Ho 3.33-3.41

Record 4
DySi2Ir5: relaxed, PBE.

abc: 3.8698 6.2251 6.2251
angles: 67.19 71.89 71.89
Closest atoms and distances in Å follow each position.
Positions (direct):
Ir  0.6433  0.1555  0.5579  3 Si 2.32-2.58
Dy  0.0000  0.0000  0.0000  4 Si 3.12, 10 Ir 3.14-3.44
Ir  0.0000  0.5000  0.5000  2 Si 2.36
Si  0.7544  0.7456  0.7456  7 Ir 2.32-2.58
Ir  0.3567  0.4421  0.8445  3 Si 2.32-2.58
Si  0.2456  0.2544  0.2544  7 Ir 2.32-2.58
Ir  0.6433  0.5579  0.1555  3 Si 2.32-2.58
Ir  0.3567  0.8445  0.4421  3 Si 2.32-2.58

Record 5
Ac3Zn2AgPd9: relaxed, PBE.

Output
formation energy = -0.38 eV per atom

abc: 7.5891 7.5891 6.7490
angles: 90.00 90.00 120.00
Closest atoms and distances in Å follow each position.
Positions (direct):
Ag  0.0000  0.0000  0.5000  6 Pd 2.58
Zn  0.3333  0.6667  0.1498  6 Pd 2.40-2.41
Pd  0.1748  0.8252  0.3274  1 Zn 2.40, 1 Ag 2.58
Pd  0.3495  0.1748  0.6726  1 Zn 2.40, 1 Ag 2.58
Pd  0.5000  0.5000  0.0000  2 Zn 2.41
Ac  0.3333  0.6667  0.6598  6 Pd 3.06-3.17, 1 Zn 3.31
Pd  0.0000  0.5000  0.0000  2 Zn 2.41
Pd  0.8252  0.1748  0.6726  1 Zn 2.40, 1 Ag 2.58
Zn  0.6667  0.3333  0.8502  6 Pd 2.40-2.41
Pd  0.1748  0.3495  0.3274  1 Zn 2.40, 1 Ag 2.58
Pd  0.8252  0.6505  0.6726  1 Zn 2.40, 1 Ag 2.58
Pd  0.5000  0.0000  0.0000  2 Zn 2.41
Ac  0.0000  0.0000  0.0000  6 Pd 3.19, 2 Ag 3.37
Ac  0.6667  0.3333  0.3402  6 Pd 3.06-3.17, 1 Zn 3.31
Pd  0.6505  0.8252  0.3274  1 Zn 2.40, 1 Ag 2.58

Record 6
ErTmThZr: relaxed, PBE.

Output
formation energy = 0.16 eV per atom

abc: 5.4510 5.4510 5.4510
angles: 60.00 60.00 60.00
Closest atoms and distances in Å follow each position.
Positions (direct):
Zr  0.5000  0.5000  0.5000  4 Th 3.34, 4 Er 3.34
Tm  0.0000  0.0000  0.0000  4 Er 3.34, 4 Th 3.34
Th  0.2500  0.2500  0.2500  4 Zr 3.34, 4 Tm 3.34
Er  0.7500  0.7500  0.7500  4 Tm 3.34, 4 Zr 3.34

Record 7
Ca2YInN: relaxed, PBE.

abc: 4.9896 4.9896 4.7447
angles: 90.00 90.00 90.00
Closest atoms and distances in Å follow each position.
Positions (direct):
In  0.5000  0.5000  0.5000  8 Ca 3.44, 4 Y 3.53
Ca  0.5000  0.0000  0.0000  2 N 2.49
Y  0.0000  0.0000  0.5000  2 N 2.37
Ca  0.0000  0.5000  0.0000  2 N 2.49
N  0.0000  0.0000  0.0000  2 Y 2.37, 4 Ca 2.49

Record 8
PrTm2ScP4: relaxed, PBE.

Output
formation energy = -1.50 eV per atom

abc: 5.6358 5.6358 6.8699
angles: 114.22 114.22 90.00
Closest atoms and distances in Å follow each position.
Positions (direct):
P  0.4372  0.9370  0.0000  2 Tm 2.80, 2 Sc 2.82, 2 Pr 2.82
Tm  0.1871  0.6871  0.5000  6 P 2.80-2.82
P  0.6765  0.6765  0.4787  1 Sc 2.68, 4 Tm 2.82, 1 Pr 2.92
P  0.9370  0.4372  0.0000  2 Tm 2.80, 2 Sc 2.82, 2 Pr 2.82
P  0.1978  0.1978  0.5213  1 Sc 2.68, 4 Tm 2.82, 1 Pr 2.92
Pr  0.9373  0.9373  0.0000  6 P 2.82-2.92
Tm  0.6871  0.1871  0.5000  6 P 2.80-2.82
Sc  0.4373  0.4373  0.0000  6 P 2.68-2.82

Record 9
Er2Sc2Co: relaxed, PBE.

Output
formation energy = -0.10 eV per atom

abc: 6.7475 6.8253 6.3638
angles: 106.27 90.00 119.62
Closest atoms and distances in Å follow each position.
Positions (direct):
Sc  0.2276  0.2312  0.9886  2 Co 2.51-2.55
Er  0.2536  0.7177  0.9321  1 Co 2.64
Sc  0.9964  0.7688  0.5114  2 Co 2.51-2.55
Er  0.7464  0.2823  0.0679  1 Co 2.64
Co  0.8287  0.0000  0.7500  4 Sc 2.51-2.55, 2 Er 2.64
Co  0.1713  0.0000  0.2500  4 Sc 2.51-2.55, 2 Er 2.64
Sc  0.7724  0.7688  0.0114  2 Co 2.51-2.55
Er  0.5358  0.2823  0.5679  1 Co 2.64
Sc  0.0036  0.2312  0.4886  2 Co 2.51-2.55
Er  0.4642  0.7177  0.4321  1 Co 2.64

Record 10
CdTc3Sn: relaxed, PBE.

Output
formation energy = 1.91 eV per atom
offset from the most stable computed form = 0.00 eV per formula unit

abc: 4.9276 4.9276 4.9276
angles: 90.00 90.00 90.00
Closest atoms and distances in Å follow each position.
Positions (direct):
Tc  0.0000  0.5000  0.0000  2 Sn 2.46
Sn  0.0000  0.0000  0.0000  6 Tc 2.46
Tc  0.5000  0.0000  0.0000  2 Sn 2.46
Cd  0.5000  0.5000  0.5000  12 Tc 3.48
Tc  0.0000  0.0000  0.5000  2 Sn 2.46

Record 11
U3CoS6: relaxed, PBE.

abc: 7.6128 7.6128 7.6128
angles: 99.66 99.66 99.66
Closest atoms and distances in Å follow each position.
Positions (direct):
U  0.3757  0.8809  0.7079  7 S 2.68-2.92
U  0.6243  0.1191  0.2921  7 S 2.68-2.92
S  0.5635  0.4278  0.1897  1 Co 2.48, 2 U 2.68-2.76
S  0.8103  0.4365  0.5722  1 Co 2.48, 2 U 2.68-2.76
S  0.9385  0.6949  0.0323  1 Co 2.35
S  0.6949  0.0323  0.9385  1 Co 2.35
U  0.1191  0.2921  0.6243  7 S 2.68-2.92
S  0.9677  0.0615  0.3051  1 Co 2.35
Co  0.0000  0.0000  0.0000  6 S 2.35
Co  0.5000  0.5000  0.5000  6 S 2.48
S  0.4365  0.5722  0.8103  1 Co 2.48, 2 U 2.68-2.76
S  0.4278  0.1897  0.5635  1 Co 2.48, 2 U 2.68-2.76
U  0.8809  0.7079  0.3757  7 S 2.68-2.92
S  0.3051  0.9677  0.0615  1 Co 2.35
U  0.7079  0.3757  0.8809  7 S 2.68-2.92
S  0.5722  0.8103  0.4365  1 Co 2.48, 2 U 2.68-2.76
S  0.0615  0.3051  0.9677  1 Co 2.35
U  0.2921  0.6243  0.1191  7 S 2.68-2.92
S  0.1897  0.5635  0.4278  1 Co 2.48, 2 U 2.68-2.76
S  0.0323  0.9385  0.6949  1 Co 2.35

Record 12
ZrCuRu2: relaxed, PBE.

Output
formation energy = 0.26 eV per atom

abc: 3.9292 3.9292 9.3150
angles: 77.82 77.82 90.00
Closest atoms and distances in Å follow each position.
Positions (direct):
Zr  0.7500  0.2500  0.5000  4 Ru 2.73, 4 Cu 2.78
Zr  0.0000  0.0000  0.0000  4 Ru 2.73, 4 Cu 2.78
Ru  0.3750  0.4428  0.7500  2 Ru 2.43, 2 Cu 2.53
Ru  0.8750  0.8072  0.7500  2 Ru 2.43, 2 Cu 2.53
Cu  0.5000  0.5000  0.0000  4 Ru 2.53, 4 Zr 2.78
Ru  0.5572  0.1250  0.2500  2 Ru 2.43, 2 Cu 2.53
Ru  0.1928  0.6250  0.2500  2 Ru 2.43, 2 Cu 2.53
Cu  0.2500  0.7500  0.5000  4 Ru 2.53, 4 Zr 2.78

Record 13
HoEr2Sc3S6: relaxed, PBE.

abc: 3.7792 7.5839 8.4457
angles: 102.87 102.93 90.00
Closest atoms and distances in Å follow each position.
Positions (direct):
Er  0.8335  0.6671  0.6671  6 S 2.71-2.72
S  0.6700  0.0771  0.3401  3 Sc 2.62-2.63, 2 Er 2.72, 1 Ho 2.73
Sc  0.1662  0.8338  0.3325  6 S 2.62-2.64
Sc  0.8338  0.1662  0.6675  6 S 2.62-2.64
S  0.3300  0.9229  0.6599  3 Sc 2.62-2.63, 2 Er 2.72, 1 Ho 2.73
S  0.6640  0.5901  0.3281  3 Sc 2.63-2.64, 3 Er 2.72
S  0.3360  0.4099  0.6719  3 Sc 2.63-2.64, 3 Er 2.72
Ho  0.5000  0.0000  0.0000  6 S 2.73
Er  0.1665  0.3329  0.3329  6 S 2.71-2.72
Sc  0.5000  0.5000  0.0000  6 S 2.63
S  0.0027  0.7418  0.0054  3 Sc 2.62-2.63, 1 Er 2.71, 2 Ho 2.73
S  0.9973  0.2582  0.9946  3 Sc 2.62-2.63, 1 Er 2.71, 2 Ho 2.73

Record 14
TbHoSb2: relaxed, PBE.

Output
offset from the most stable computed form = 0.28 eV per formula unit

abc: 4.3716 4.3716 14.4466
angles: 90.00 90.00 120.00
Closest atoms and distances in Å follow each position.
Positions (direct):
Tb  0.3333  0.6667  0.7500  6 Sb 3.13
Sb  0.3333  0.6667  0.1215  3 Ho 3.07, 3 Tb 3.13
Sb  0.6667  0.3333  0.8785  3 Ho 3.07, 3 Tb 3.13
Ho  0.0000  0.0000  0.5000  6 Sb 3.07
Ho  0.0000  0.0000  0.0000  6 Sb 3.07
Sb  0.6667  0.3333  0.6215  3 Ho 3.07, 3 Tb 3.13
Sb  0.3333  0.6667  0.3785  3 Ho 3.07, 3 Tb 3.13
Tb  0.6667  0.3333  0.2500  6 Sb 3.13

Record 15
PmScTlRu: relaxed, PBE.

Output
formation energy = -0.39 eV per atom
offset from the most stable computed form = 0.00 eV per formula unit

abc: 3.3402 3.3402 8.1598
angles: 90.00 90.00 90.00
Closest atoms and distances in Å follow each position.
Positions (direct):
Sc  0.5000  0.5000  0.3700  4 Ru 2.75
Pm  0.5000  0.5000  0.7754  4 Ru 3.03, 1 Sc 3.31, 4 Pm 3.34
Tl  0.0000  0.0000  0.0957  4 Sc 3.25, 4 Tl 3.34, 4 Pm 3.52
Ru  0.0000  0.0000  0.5436  4 Sc 2.75, 4 Pm 3.03

Record 16
Cs4Sn2Te7: relaxed, PBE.

abc: 9.3134 9.3134 19.9055
angles: 73.97 73.97 50.84
Closest atoms and distances in Å follow each position.
Positions (direct):
Cs  0.0381  0.4524  0.1449  8 Te 3.91-4.23, 1 Sn 4.29
Cs  0.8566  0.3102  0.5566  7 Te 3.91-4.31
Te  0.8042  0.3658  0.0402  1 Sn 2.73
Te  0.0389  0.9611  0.7500  2 Sn 2.87
Sn  0.7808  0.3177  0.3404  4 Te 2.73-2.88
Te  0.0079  0.4016  0.3506  1 Sn 2.75
Te  0.1958  0.6342  0.9598  1 Sn 2.73
Sn  0.3177  0.7808  0.8404  4 Te 2.73-2.88
Cs  0.1434  0.6898  0.4434  7 Te 3.91-4.31
Te  0.9611  0.0389  0.2500  2 Sn 2.87
Te  0.9921  0.5984  0.6494  1 Sn 2.75
Sn  0.6823  0.2192  0.1596  4 Te 2.73-2.88
Cs  0.4524  0.0381  0.6449  8 Te 3.91-4.23, 1 Sn 4.29
Cs  0.5476  0.9619  0.3551  8 Te 3.91-4.23, 1 Sn 4.29
Te  0.4921  0.3500  0.7417  1 Te 2.78, 1 Sn 2.88
Te  0.5984  0.9921  0.1494  1 Sn 2.75
Te  0.5079  0.6500  0.2583  1 Te 2.78, 1 Sn 2.88
Cs  0.6898  0.1434  0.9434  7 Te 3.91-4.31
Cs  0.9619  0.5476  0.8551  8 Te 3.91-4.23, 1 Sn 4.29
Te  0.6342  0.1958  0.4598  1 Sn 2.73
Te  0.6500  0.5079  0.7583  1 Te 2.78, 1 Sn 2.88
Cs  0.3102  0.8566  0.0566  7 Te 3.91-4.31
Te  0.3500  0.4921  0.2417  1 Te 2.78, 1 Sn 2.88
Sn  0.2192  0.6823  0.6596  4 Te 2.73-2.88
Te  0.3658  0.8042  0.5402  1 Sn 2.73
Te  0.4016  0.0079  0.8506  1 Sn 2.75

Record 17
Al2NF: relaxed, PBE.

Output
offset from the most stable computed form = 2.99 eV per formula unit

abc: 4.0141 4.0141 4.0141
angles: 60.00 60.00 60.00
Closest atoms and distances in Å follow each position.
Positions (direct):
Al  0.7500  0.7500  0.7500  4 F 2.46, 4 N 2.46
Al  0.2500  0.2500  0.2500  4 F 2.46, 4 N 2.46
F  0.5000  0.5000  0.5000  8 Al 2.46
N  0.0000  0.0000  0.0000  8 Al 2.46

Record 18
HoPu5Se6: relaxed, PBE.

abc: 7.1580 7.1627 7.1606
angles: 59.99 80.40 70.52
Closest atoms and distances in Å follow each position.
Positions (direct):
Se  0.7526  0.0823  0.3303  1 Ho 2.89, 5 Pu 2.92-2.94
Pu  0.0000  0.3337  0.3326  6 Se 2.92-2.93
Ho  0.0000  0.0000  0.0000  6 Se 2.89-2.90
Se  0.2492  0.2470  0.0000  1 Ho 2.90, 5 Pu 2.93-2.95
Pu  0.5000  0.5000  0.0000  6 Se 2.92-2.95
Se  0.7508  0.7530  0.0000  1 Ho 2.90, 5 Pu 2.93-2.95
Pu  0.5000  0.8322  0.3356  6 Se 2.92-2.94
Pu  0.0000  0.6663  0.6674  6 Se 2.92-2.93
Se  0.2474  0.5873  0.3303  1 Ho 2.89, 5 Pu 2.92-2.94
Pu  0.5000  0.1678  0.6644  6 Se 2.92-2.94
Se  0.2474  0.9177  0.6697  1 Ho 2.89, 5 Pu 2.92-2.94
Se  0.7526  0.4127  0.6697  1 Ho 2.89, 5 Pu 2.92-2.94

Record 19
PmPr2SmHo2: relaxed, PBE.

Output
formation energy = 0.07 eV per atom

abc: 5.7438 7.0716 9.9403
angles: 90.00 90.00 90.00
Closest atoms and distances in Å follow each position.
Positions (direct):
Pm  0.0000  0.0079  0.5002  2 Pm 3.54, 2 Pr 3.73, 4 Sm 3.75, 6 Ho 3.75-3.76
Sm  0.5000  0.7581  0.3353  5 Ho 3.29-3.54
Pr  0.0000  0.2571  0.1697  5 Ho 3.30-3.54
Pr  0.5000  0.5074  0.0003  6 Pr 3.54-3.77, 6 Ho 3.75-3.76, 2 Sm 3.77
Pr  0.0000  0.7571  0.8303  5 Ho 3.30-3.54
Ho  0.5000  0.7579  0.6661  3 Sm 3.29-3.54, 2 Pr 3.30
Ho  0.0000  0.2573  0.8338  2 Sm 3.33, 3 Pr 3.34-3.54
Pm  0.0000  0.5079  0.4998  2 Pm 3.54, 2 Pr 3.73, 4 Sm 3.75, 6 Ho 3.75-3.76
Ho  0.5000  0.2579  0.3339  3 Sm 3.29-3.54, 2 Pr 3.30
Pr  0.5000  0.0074  0.9997  6 Pr 3.54-3.77, 6 Ho 3.75-3.76, 2 Sm 3.77
Ho  0.0000  0.7573  0.1662  2 Sm 3.33, 3 Pr 3.34-3.54
Sm  0.5000  0.2581  0.6647  5 Ho 3.29-3.54

Record 20
BaSc2Cl: relaxed, PBE.

Output
offset from the most stable computed form = 1.49 eV per formula unit

abc: 3.4327 3.4327 9.6052
angles: 90.00 90.00 90.00
Closest atoms and distances in Å follow each position.
Positions (direct):
Sc  0.0000  0.0000  0.5676  4 Cl 2.99
Sc  0.0000  0.0000  0.9324  4 Cl 2.99
Ba  0.5000  0.5000  0.2500  4 Ba 3.43
Cl  0.5000  0.5000  0.7500  8 Sc 2.99

Record 21
Ho6TlP2S3: relaxed, PBE.

abc: 3.9551 8.1311 8.9649
angles: 102.77 102.74 90.00
Closest atoms and distances in Å follow each position.
Positions (direct):
Ho  0.9980  0.7284  0.9960  3 S 2.72-2.89, 1 P 2.83, 2 Tl 2.96
S  0.5000  0.5000  0.0000  6 Ho 2.72-2.90
P  0.8323  0.6640  0.6646  6 Ho 2.76-2.83
P  0.1677  0.3360  0.3354  6 Ho 2.76-2.83
Ho  0.6731  0.0959  0.3461  3 S 2.72-2.91, 2 P 2.80, 1 Tl 2.95
Tl  0.5000  0.0000  0.0000  6 Ho 2.95-2.96
Ho  0.6703  0.5775  0.3405  3 P 2.76-2.78, 3 S 2.87-2.90
S  0.8326  0.1688  0.6652  6 Ho 2.72-2.91
S  0.1674  0.8312  0.3348  6 Ho 2.72-2.91
Ho  0.3297  0.4225  0.6595  3 P 2.76-2.78, 3 S 2.87-2.90
Ho  0.0020  0.2716  0.0040  3 S 2.72-2.89, 1 P 2.83, 2 Tl 2.96
Ho  0.3269  0.9041  0.6539  3 S 2.72-2.91, 2 P 2.80, 1 Tl 2.95

Record 22
PuHf2Hg: relaxed, PBE.

Output
formation energy = 0.02 eV per atom
offset from the most stable computed form = 0.00 eV per formula unit

abc: 3.2572 3.2572 8.4501
angles: 90.00 90.00 90.00
Closest atoms and distances in Å follow each position.
Positions (direct):
Hg  0.5000  0.5000  0.5000  8 Hf 3.08, 4 Hg 3.26
Pu  0.5000  0.5000  0.0000  8 Hf 3.17, 4 Pu 3.26
Hf  0.0000  0.0000  0.2586  4 Hg 3.08, 4 Pu 3.17, 4 Hf 3.26
Hf  0.0000  0.0000  0.7414  4 Hg 3.08, 4 Pu 3.17, 4 Hf 3.26

Record 23
KLi2Be: relaxed, PBE.

Output
formation energy = 0.43 eV per atom

abc: 3.4983 3.2130 9.0609
angles: 69.01 90.00 90.00
Closest atoms and distances in Å follow each position.
Positions (direct):
Be  0.5000  0.2500  0.2500  8 Li 2.69
Li  0.0000  0.5990  0.3999  1 Li 2.54, 4 Be 2.69
Li  0.0000  0.9010  0.1001  1 Li 2.54, 4 Be 2.69
K  0.5000  0.7500  0.7500  4 K 3.21-3.50

Quick rundown of uncorrected energy, same order as above: -5.371 -4.528 -3.641 -8.153 -4.680 -6.092 -5.107 -6.711 -5.881 -5.291 -7.702 -7.542 -6.699 -5.424 -6.068 -3.257 -4.621 -9.665 -4.632 -4.231 -5.975 -8.615 -1.731 eV per atom